3
Lattice="4.4288 1.6650 1.5695 0.2371 3.4223 3.6168 1.6784 -1.2633 4.5207" Properties=species:S:1:pos:R:3 comment="GGA-PBE LiPmPu, optimized geometry" rho_kg_m3=7506 pbc="T T T"
Li 0.0000 0.0000 0.0000
Pm 1.5861 0.9560 2.4267
Pu 4.7582 2.8680 7.2802

=====

4
Lattice="4.1807 0.0000 0.0000 0.0000 4.4668 0.0000 0.0000 0.0000 6.2732" Properties=species:S:1:pos:R:3 comment="GGA-PBE KNi, optimized geometry" rho_kg_m3=2772 pbc="T T T"
K 1.0452 0.0000 1.4251
K 3.1355 0.0000 4.8481
Ni 3.1355 2.2334 2.7247
Ni 1.0452 2.2334 3.5486

=====

no.,DFT total energy (eV per atom)
1,-6.334
2,-2.683